Record 1
## Nb2Cr2GeRu5 (PBE-GGA)

Data for Nb2Cr2GeRu5 after structural relaxation.

Its density of states at the Fermi level is 16.82 states/eV per cell. The calculation puts the total energy at -0.3314 Ha/atom. The calculation puts the magnetization at 0.0 μB per cell. The value obtained for the formation energy is 19 meV/atom. Its space-group type is P4/mbm.

a b c (Å): 3.572 9.143 9.143
angles (deg): 90.00 90.00 90.00
Sites, in units of the cell vectors:
Ru  0.500  0.933  0.204
Ru  0.500  0.433  0.296
Ru  0.500  0.067  0.796
Ru  0.500  0.567  0.704
Ru  0.500  0.796  0.933
Ru  0.500  0.704  0.433
Ru  0.500  0.204  0.067
Ru  0.500  0.500  0.000
Ru  0.500  0.296  0.567
Ru  0.500  0.000  0.500
Nb  0.000  0.326  0.826
Nb  0.000  0.174  0.326
Nb  0.000  0.674  0.174
Nb  0.000  0.826  0.674
Ge  0.000  0.000  0.000
Ge  0.000  0.500  0.500
Cr  0.000  0.370  0.130
Cr  0.000  0.870  0.370
Cr  0.000  0.130  0.630
Cr  0.000  0.630  0.870

Record 2
## Y2NbCrGe (PBE-GGA)

Data for Y2NbCrGe after structural relaxation.

Its density of states at the Fermi level is 3.85 states/eV per cell. The calculation puts the total energy at -0.2514 Ha/atom. The calculation puts the magnetization at 0.8 μB per cell. The value obtained for the formation energy is 607 meV/atom. Its space-group type is P4/mmm.

a b c (Å): 5.425 4.529 5.425
angles (deg): 90.00 90.00 90.00
Site moments in Bohr magnetons follow the coordinates.
Sites, in units of the cell vectors:
Nb  0.500  0.500  0.500  2.29
Cr  0.000  0.500  0.000  -2.82
Ge  0.000  0.000  0.000  0.15
Y  0.500  0.000  0.000  0.18
Y  0.000  0.000  0.500  0.24

Record 3
## NdCrGe3 (PBE-GGA)

Data for NdCrGe3 after structural relaxation.

Its density of states at the Fermi level is 4.03 states/eV per cell. The calculation puts the total energy at -0.2222 Ha/atom. The calculation puts the magnetization at 2.7 μB per cell. The value obtained for the formation energy is -398 meV/atom. Its space-group type is P6_3/mmc.

a b c (Å): 6.158 6.158 5.729
angles (deg): 90.00 90.00 120.00
Site moments in Bohr magnetons follow the coordinates.
Sites, in units of the cell vectors:
Ge  0.808  0.192  0.750  -0.04
Ge  0.192  0.808  0.250  -0.04
Ge  0.808  0.616  0.750  -0.04
Ge  0.384  0.192  0.750  -0.04
Ge  0.616  0.808  0.250  -0.04
Ge  0.192  0.384  0.250  -0.04
Nd  0.667  0.333  0.250  -0.06
Nd  0.333  0.667  0.750  -0.06
Cr  0.000  0.000  0.500  1.58
Cr  0.000  0.000  0.000  1.58

Record 4
## NdCrGe2 (PBE-GGA)

Data for NdCrGe2 after structural relaxation.

Its density of states at the Fermi level is 2.33 states/eV per cell. The calculation puts the total energy at -0.2309 Ha/atom. The calculation puts the magnetization at 2.7 μB per cell. The value obtained for the formation energy is -376 meV/atom. Its space-group type is R-3m.

a b c (Å): 4.242 4.242 5.779
angles (deg): 68.47 68.47 60.00
Site moments in Bohr magnetons follow the coordinates.
Sites, in units of the cell vectors:
Ge  0.220  0.220  0.339  -0.05
Ge  0.780  0.780  0.661  -0.05
Nd  0.000  0.000  0.000  -0.07
Cr  0.500  0.500  0.500  2.71

Record 5
## Nd2CrGe3Pt4 (PBE-GGA)

Data for Nd2CrGe3Pt4 after structural relaxation.

Its density of states at the Fermi level is 8.84 states/eV per cell. The calculation puts the total energy at -0.2392 Ha/atom. The calculation puts the magnetization at 3.3 μB per cell. The value obtained for the formation energy is -792 meV/atom. Its space-group type is P-4m2.

a b c (Å): 4.306 4.306 10.436
angles (deg): 90.00 90.00 90.00
Site moments in Bohr magnetons follow the coordinates.
Sites, in units of the cell vectors:
Pt  0.500  0.500  0.000  -0.04
Pt  0.000  0.500  0.366  0.01
Pt  0.500  0.000  0.634  0.01
Pt  0.000  0.000  0.000  -0.02
Ge  0.000  0.000  0.500  -0.05
Ge  0.500  0.000  0.869  -0.01
Ge  0.000  0.500  0.131  -0.01
Nd  0.500  0.000  0.249  0.01
Nd  0.000  0.500  0.751  0.01
Cr  0.500  0.500  0.500  3.06

Record 6
## Nd2CrGe4Pt3 (PBE-GGA)

Data for Nd2CrGe4Pt3 after structural relaxation.

Its density of states at the Fermi level is 3.78 states/eV per cell. The calculation puts the total energy at -0.2345 Ha/atom. The calculation puts the magnetization at 2.5 μB per cell. The value obtained for the formation energy is -807 meV/atom. Its space-group type is P-4m2.

a b c (Å): 4.249 4.249 10.632
angles (deg): 90.00 90.00 90.00
Site moments in Bohr magnetons follow the coordinates.
Sites, in units of the cell vectors:
Pt  0.500  0.000  0.870  -0.02
Pt  0.000  0.500  0.130  -0.02
Pt  0.000  0.000  0.500  -0.08
Ge  0.000  0.000  0.000  0.00
Ge  0.500  0.000  0.634  -0.08
Ge  0.500  0.500  0.000  0.00
Ge  0.000  0.500  0.366  -0.08
Nd  0.000  0.500  0.752  0.00
Nd  0.500  0.000  0.248  0.00
Cr  0.500  0.500  0.500  2.67

Record 7
## CrNi5Ge (PBE-GGA)

Data for CrNi5Ge after structural relaxation.

Its density of states at the Fermi level is 7.95 states/eV per cell. The calculation puts the total energy at -0.2217 Ha/atom. The calculation puts the magnetization at 1.4 μB per cell. The value obtained for the formation energy is 130 meV/atom. Its space-group type is P4/mmm.

a b c (Å): 3.572 3.572 6.662
angles (deg): 90.00 90.00 90.00
Site moments in Bohr magnetons follow the coordinates.
Sites, in units of the cell vectors:
Ni  0.500  0.000  0.771  0.01
Ni  0.000  0.500  0.229  0.01
Ni  0.000  0.500  0.771  0.01
Ni  0.500  0.000  0.229  0.01
Ni  0.500  0.500  0.500  -0.10
Cr  0.500  0.500  0.000  1.38
Ge  0.000  0.000  0.500  0.00

Record 8
## CrNi12Ge3 (PBE-GGA)

Data for CrNi12Ge3 after structural relaxation.

Its density of states at the Fermi level is 11.44 states/eV per cell. The calculation puts the total energy at -0.2211 Ha/atom. The calculation puts the magnetization at 1.6 μB per cell. The value obtained for the formation energy is -213 meV/atom. Its space-group type is P4/mmm.

a b c (Å): 3.570 3.570 14.251
angles (deg): 90.00 90.00 90.00
Site moments in Bohr magnetons follow the coordinates.
Sites, in units of the cell vectors:
Cr  0.000  0.000  0.000  1.80
Ni  0.500  0.000  0.878  -0.04
Ni  0.000  0.500  0.374  0.00
Ni  0.500  0.500  0.752  -0.02
Ni  0.500  0.500  0.248  -0.02
Ni  0.500  0.500  0.000  0.00
Ni  0.000  0.500  0.122  -0.04
Ni  0.500  0.000  0.122  -0.04
Ni  0.500  0.000  0.626  0.00
Ni  0.500  0.000  0.374  0.00
Ni  0.500  0.500  0.500  0.00
Ni  0.000  0.500  0.626  0.00
Ni  0.000  0.500  0.878  -0.04
Ge  0.000  0.000  0.750  0.00
Ge  0.000  0.000  0.250  0.00
Ge  0.000  0.000  0.500  0.00

Record 9
## Cr2NiGe (PBE-GGA)

Data for Cr2NiGe after structural relaxation.

Its density of states at the Fermi level is 13.58 states/eV per cell. The calculation puts the total energy at -0.2538 Ha/atom. The calculation puts the magnetization at 3.2 μB per cell. The value obtained for the formation energy is 504 meV/atom. Its space-group type is I-42d.

a b c (Å): 6.612 6.612 5.265
angles (deg): 51.11 51.11 90.00
Site moments in Bohr magnetons follow the coordinates.
Sites, in units of the cell vectors:
Cr  0.875  0.863  0.750  0.76
Cr  0.137  0.625  0.250  0.76
Cr  0.613  0.125  0.250  0.76
Cr  0.375  0.387  0.750  0.76
Ni  0.500  0.500  0.000  0.11
Ni  0.250  0.750  0.500  0.11
Ge  0.000  0.000  0.000  -0.03
Ge  0.750  0.250  0.500  -0.03

Record 10
## CrNi2Ge (PBE-GGA)

Data for CrNi2Ge after structural relaxation.

Its density of states at the Fermi level is 3.90 states/eV per cell. The calculation puts the total energy at -0.2412 Ha/atom. The calculation puts the magnetization at 3.6 μB per cell. The value obtained for the formation energy is -114 meV/atom. Its space-group type is P4/mmm.

a b c (Å): 3.596 3.704 3.704
angles (deg): 90.00 90.00 90.00
Site moments in Bohr magnetons follow the coordinates.
Sites, in units of the cell vectors:
Ni  0.000  0.000  0.500  0.40
Ni  0.000  0.500  0.000  0.40
Cr  0.500  0.500  0.500  2.70
Ge  0.500  0.000  0.000  -0.05

Record 11
## CrNi6Ge (PBE-GGA)

Data for CrNi6Ge after structural relaxation.

Its density of states at the Fermi level is 10.85 states/eV per cell. The calculation puts the total energy at -0.2267 Ha/atom. The calculation puts the magnetization at 4.5 μB per cell. The value obtained for the formation energy is -54 meV/atom. Its space-group type is I4/mmm.

a b c (Å): 3.634 3.634 7.410
angles (deg): 75.81 75.81 90.00
Site moments in Bohr magnetons follow the coordinates.
Sites, in units of the cell vectors:
Cr  0.000  0.000  0.000  2.33
Ni  0.373  0.873  0.253  0.33
Ni  0.127  0.627  0.747  0.33
Ni  0.627  0.127  0.747  0.33
Ni  0.750  0.750  0.500  0.42
Ni  0.873  0.373  0.253  0.33
Ni  0.250  0.250  0.500  0.42
Ge  0.500  0.500  0.000  -0.04

Record 12
## CrNi2Ge2 (PBE-GGA)

Data for CrNi2Ge2 after structural relaxation.

Its density of states at the Fermi level is 5.01 states/eV per cell. The calculation puts the total energy at -0.2240 Ha/atom. The calculation puts the magnetization at 0.0 μB per cell. The value obtained for the formation energy is -12 meV/atom. Its space-group type is P4/mbm.

a b c (Å): 6.852 6.852 2.714
angles (deg): 90.00 90.00 90.00
Sites, in units of the cell vectors:
Ni  0.360  0.140  0.500
Ni  0.640  0.860  0.500
Ni  0.860  0.360  0.500
Ni  0.140  0.640  0.500
Cr  0.500  0.500  0.000
Cr  0.000  0.000  0.000
Ge  0.843  0.657  0.000
Ge  0.343  0.843  0.000
Ge  0.157  0.343  0.000
Ge  0.657  0.157  0.000

What is the magnetization in the sixth record?
2.5 μB per cell